1.
A plane-wave DFT calculation with GGA-PBE was carried out for an optimized crystal structure of LaGeI2N.

The energy above the most stable polymorph in this dataset is 14 meV per atom. The density of states at the Fermi level is 3.5 states/eV/cell. Its total moment is 0.17 μB/atom.

Unit cell a=6.4864 b=6.4864 c=4.1606 alpha=90.00 beta=90.00 gamma=90.00
Closest atoms and distances in Å follow each position.
Atoms (fractional coordinates):
N 0.0000 0.0000 0.5000  2 La 2.08
Ge 0.5000 0.5000 0.5000  8 I 3.85, 2 Ge 4.16
I 0.5000 0.0000 0.0000  2 La 3.24
La 0.0000 0.0000 0.0000  2 N 2.08
I 0.0000 0.5000 0.0000  2 La 3.24

2.
A plane-wave DFT calculation with GGA-PBE was carried out for an optimized crystal structure of CoTePb2.

The energy above the most stable polymorph in this dataset is 451 meV per atom. The density of states at the Fermi level is 4.7 states/eV/cell. Its total moment is 0.36 μB/atom.

Unit cell a=5.5124 b=5.5124 c=5.5124 alpha=127.57 beta=127.57 gamma=77.32
Closest atoms and distances in Å follow each position.
Atoms (fractional coordinates):
Co 0.7500 0.2500 0.5000  8 Pb 3.25-3.44, 4 Te 3.25
Pb 0.2500 0.7500 0.5000  4 Pb 3.25, 4 Te 3.25, 4 Co 3.44
Pb 0.0000 0.0000 0.0000  4 Pb 3.25, 4 Co 3.25, 4 Te 3.44
Te 0.5000 0.5000 0.0000  4 Co 3.25, 8 Pb 3.25-3.44

3.
A plane-wave DFT calculation with GGA-PBE was carried out for an optimized crystal structure of Be2GaCu5Au2.

Its energy of formation from the pure elements is -75.4 meV/atom. The density of states at the Fermi level is 8.6 states/eV/cell. Its total moment is 0.00 μB/atom.

Unit cell a=3.6921 b=8.3203 c=8.3203 alpha=90.00 beta=90.00 gamma=90.00
Closest atoms and distances in Å follow each position.
Atoms (fractional coordinates):
Cu 0.5000 0.2945 0.5766  2 Be 2.38, 4 Cu 2.53-2.58, 2 Ga 2.60
Cu 0.5000 0.4234 0.2945  2 Be 2.38, 4 Cu 2.53-2.58, 2 Ga 2.60
Ga 0.0000 0.5000 0.5000  8 Cu 2.60
Au 0.0000 0.6738 0.1738  3 Be 2.45-2.47
Cu 0.5000 0.0766 0.7945  2 Be 2.38, 4 Cu 2.53-2.58, 2 Ga 2.60
Au 0.0000 0.8262 0.6738  3 Be 2.45-2.47
Cu 0.5000 0.0000 0.5000  4 Be 2.31, 4 Cu 2.53
Be 0.0000 0.1179 0.6179  6 Cu 2.31-2.38, 3 Au 2.45-2.47
Ga 0.0000 0.0000 0.0000  8 Cu 2.60
Be 0.0000 0.3821 0.1179  6 Cu 2.31-2.38, 3 Au 2.45-2.47
Cu 0.5000 0.2055 0.0766  2 Be 2.38, 4 Cu 2.53-2.58, 2 Ga 2.60
Be 0.0000 0.6179 0.8821  6 Cu 2.31-2.38, 3 Au 2.45-2.47
Be 0.0000 0.8821 0.3821  6 Cu 2.31-2.38, 3 Au 2.45-2.47
Cu 0.5000 0.5766 0.7055  2 Be 2.38, 4 Cu 2.53-2.58, 2 Ga 2.60
Au 0.0000 0.1738 0.3262  3 Be 2.45-2.47
Cu 0.5000 0.7945 0.9234  2 Be 2.38, 4 Cu 2.53-2.58, 2 Ga 2.60
Cu 0.5000 0.7055 0.4234  2 Be 2.38, 4 Cu 2.53-2.58, 2 Ga 2.60
Au 0.0000 0.3262 0.8262  3 Be 2.45-2.47
Cu 0.5000 0.5000 0.0000  4 Be 2.31, 4 Cu 2.53
Cu 0.5000 0.9234 0.2055  2 Be 2.38, 4 Cu 2.53-2.58, 2 Ga 2.60

4.
A plane-wave DFT calculation with GGA-PBE was carried out for an optimized crystal structure of Sc5Mn.

Its energy of formation from the pure elements is 108.3 meV/atom. The energy above the most stable polymorph in this dataset is 58 meV per atom. The density of states at the Fermi level is 8.7 states/eV/cell. Its total moment is 0.18 μB/atom.

Unit cell a=7.2543 b=7.2543 c=4.6789 alpha=90.00 beta=90.00 gamma=147.16
Closest atoms and distances in Å follow each position.
Atoms (fractional coordinates):
Mn 0.5000 0.5000 0.0000  8 Sc 2.92-3.11
Sc 0.0000 0.0000 0.5000  8 Sc 3.08-3.13, 4 Mn 3.11
Sc 0.3346 0.6654 0.5000  8 Sc 3.08-3.12, 2 Mn 3.28
Sc 0.6654 0.3346 0.5000  8 Sc 3.08-3.12, 2 Mn 3.28
Sc 0.8511 0.1489 0.0000  2 Mn 2.92, 6 Sc 3.12-3.13
Sc 0.1489 0.8511 0.0000  2 Mn 2.92, 6 Sc 3.12-3.13

5.
A plane-wave DFT calculation with GGA-PBE was carried out for an optimized crystal structure of HgPtSe2.

The energy above the most stable polymorph in this dataset is 218 meV per atom. The density of states at the Fermi level is 8.2 states/eV/cell. Its total moment is 0.00 μB/atom.

Unit cell a=16.0546 b=7.0843 c=7.0843 alpha=86.12 beta=102.52 gamma=77.48
Closest atoms and distances in Å follow each position.
Atoms (fractional coordinates):
Se 0.9219 0.8830 0.5094  2 Pt 2.47-2.57
Se 0.1976 0.4340 0.3401  2 Pt 2.44-2.48
Se 0.9623 0.6710 0.0827  2 Pt 2.52, 1 Hg 2.70
Pt 0.6490 0.2822 0.3535  4 Se 2.43-2.52
Se 0.4623 0.4173 0.8290  2 Pt 2.52, 1 Hg 2.70
Se 0.2500 0.8314 0.3314  2 Pt 2.43
Se 0.0377 0.3290 0.9173  2 Pt 2.52, 1 Hg 2.70
Hg 0.4172 0.4528 0.3224  1 Se 2.70, 1 Pt 2.70
Se 0.2500 0.3495 0.8495  2 Pt 2.51
Se 0.5781 0.0094 0.3830  2 Pt 2.47-2.57
Se 0.7500 0.6505 0.1505  2 Pt 2.51
Se 0.7500 0.1686 0.6686  2 Pt 2.43
Pt 0.8347 0.9090 0.1547  4 Se 2.44-2.57, 1 Hg 2.70
Hg 0.5828 0.5472 0.6776  1 Se 2.70, 1 Pt 2.70
Pt 0.1653 0.0910 0.8453  4 Se 2.44-2.57, 1 Hg 2.70
Hg 0.0828 0.8224 0.9528  1 Se 2.70, 1 Pt 2.70
Hg 0.5855 0.9340 0.8907  3 Se 2.81-3.08
Se 0.3024 0.8401 0.9340  2 Pt 2.44-2.48
Se 0.4219 0.9906 0.6170  2 Pt 2.47-2.57
Se 0.6976 0.1599 0.0660  2 Pt 2.44-2.48
Hg 0.4145 0.0660 0.1093  3 Se 2.81-3.08
Hg 0.9172 0.1776 0.0472  1 Se 2.70, 1 Pt 2.70
Se 0.5377 0.5827 0.1710  2 Pt 2.52, 1 Hg 2.70
Pt 0.3347 0.3453 0.5910  4 Se 2.44-2.57, 1 Hg 2.70
Pt 0.6653 0.6547 0.4090  4 Se 2.44-2.57, 1 Hg 2.70
Pt 0.1490 0.1465 0.2178  4 Se 2.43-2.52
Hg 0.9145 0.3907 0.4340  3 Se 2.81-3.08
Se 0.8024 0.5660 0.6599  2 Pt 2.44-2.48
Se 0.0781 0.1170 0.4906  2 Pt 2.47-2.57
Hg 0.0855 0.6093 0.5660  3 Se 2.81-3.08
Pt 0.8510 0.8535 0.7822  4 Se 2.43-2.52
Pt 0.3510 0.7178 0.6465  4 Se 2.43-2.52

6.
A plane-wave DFT calculation with GGA-PBE was carried out for an optimized crystal structure of CrCo2Se4.

The density of states at the Fermi level is 6.1 states/eV/cell. Its total moment is 0.65 μB/atom. As for the total energy: -5.6140 eV per atom.

Unit cell a=3.6119 b=6.2195 c=6.0619 alpha=109.11 beta=90.00 gamma=90.00
Closest atoms and distances in Å follow each position.
Atoms (fractional coordinates):
Cr 0.0000 0.0000 0.0000  6 Se 2.56-2.59
Se 0.0000 0.2285 0.7170  3 Co 2.41-2.46, 1 Cr 2.56
Se 0.5000 0.2492 0.2724  3 Co 2.39-2.49, 2 Cr 2.59
Co 0.0000 0.5000 0.5000  6 Se 2.46-2.49
Se 0.0000 0.7715 0.2830  3 Co 2.41-2.46, 1 Cr 2.56
Se 0.5000 0.7508 0.7276  3 Co 2.39-2.49, 2 Cr 2.59
Co 0.5000 0.0000 0.5000  6 Se 2.39-2.41